Below is Ta2NiAs2 after structural relaxation, with properties calculated at the PBE level.

Structure (extended XYZ):
```
10
Lattice="6.8977 0.0000 0.0000 0.0000 6.8977 0.0000 0.0000 0.0000 3.4103" Properties=species:S:1:pos:R:3 pbc="T T T"
Ta 1.0120 2.4368 0.0000
Ta 2.4368 5.8856 0.0000
Ta 4.4609 1.0120 0.0000
Ta 5.8856 4.4609 0.0000
Ni 0.0000 0.0000 1.7051
Ni 3.4488 3.4488 1.7051
As 1.0537 4.5025 1.7051
As 2.3952 1.0537 1.7051
As 4.5025 5.8440 1.7051
As 5.8440 2.3952 1.7051
```

Properties
Space-group type: P4/mbm, No. 127
Raw total energy: -78.8 eV for the cell shown
Crystal system: tetragonal

---

Below is MgS2I after structural relaxation, with properties calculated at the PBE level.

Structure (extended XYZ):
```
8
Lattice="-3.5414 3.5414 3.9991 3.5414 -3.5414 3.9991 3.5414 3.5414 -3.9991" Properties=species:S:1:pos:R:3 pbc="T T T"
Mg 0.0000 0.0000 0.0000
Mg 0.0000 3.5414 1.9996
S 5.3121 1.4394 -0.9998
S 1.4394 1.7707 0.9998
S -1.7707 2.1020 2.9993
S 2.1020 1.7707 4.9989
I 3.5414 0.0000 1.9996
I 0.0000 0.0000 3.9991
```

Properties
Formation energy from raw total energies: -0.23 eV per formula unit
Space-group type: I-42d, No. 122
Offset from the most stable computed form: 404 meV/atom
Raw total energy: -23.3 eV for the cell shown
Crystal system: tetragonal

---

Below is Zr2AuCl2 after structural relaxation, with properties calculated at the PBE level.

Structure (extended XYZ):
```
10
Lattice="7.9040 0.0000 0.0000 0.0000 7.9040 0.0000 0.0000 0.0000 3.0102" Properties=species:S:1:pos:R:3 pbc="T T T"
Zr 1.4265 2.5255 0.0000
Zr 2.5255 6.4775 0.0000
Zr 5.3785 1.4265 0.0000
Zr 6.4775 5.3785 0.0000
Au 0.0000 0.0000 1.5051
Au 3.9520 3.9520 1.5051
Cl 0.9711 4.9231 1.5051
Cl 2.9809 0.9711 1.5051
Cl 4.9231 6.9329 1.5051
Cl 6.9329 2.9809 1.5051
```

Properties
Formation energy from raw total energies: -2.08 eV per formula unit
Space-group type: P4/mbm, No. 127
Offset from the most stable computed form: 78 meV/atom
Raw total energy: -52.3 eV for the cell shown
Crystal system: tetragonal

---

Below is SrCd4Cu after structural relaxation, with properties calculated at the PBE level.

Structure (extended XYZ):
```
12
Lattice="6.6989 -4.0602 0.0000 6.6989 4.0602 0.0000 -0.7939 0.0000 5.3359" Properties=species:S:1:pos:R:3 pbc="T T T"
Sr 6.1035 2.3943 4.0020
Sr 6.5004 -2.3943 1.3340
Cd 1.8247 0.6638 4.7106
Cd 2.2217 -0.6638 2.0426
Cd 4.9913 0.6624 1.2697
Cd 4.5944 -0.6624 3.9377
Cd 8.0095 0.6624 1.3983
Cd 7.6125 -0.6624 4.0662
Cd 10.3822 0.6638 3.2934
Cd 10.7791 -0.6638 0.6254
Cu 2.9525 2.0301 2.6680
Cu 3.3495 -2.0301 0.0000
```

Properties
Space-group type: C2/c, No. 15
Offset from the most stable computed form: 0 meV/atom
Raw total energy: -20.5 eV for the cell shown
Crystal system: monoclinic

---

Below is Nd4HoTl after structural relaxation, with properties calculated at the PBE level.

Structure (extended XYZ):
```
12
Lattice="4.4864 -7.2066 0.0000 4.4864 7.2066 0.0000 -2.2247 0.0000 6.2198" Properties=species:S:1:pos:R:3 pbc="T T T"
Nd 1.4929 4.4651 5.9368
Nd 1.1925 1.7129 3.8726
Nd 4.1430 4.4651 3.3930
Nd 2.3048 -1.7129 0.7627
Nd 4.4434 1.7129 5.4571
Nd 2.6052 -4.4651 2.8268
Nd 5.5557 -1.7129 2.3472
Nd 5.2553 -4.4651 0.2831
Ho 3.9303 1.2874 1.5550
Ho 2.8179 -1.2874 4.6649
Tl 3.9303 7.1951 1.5550
Tl 2.8179 -7.1951 4.6649
```

Properties
Space-group type: C2/c, No. 15
Offset from the most stable computed form: 80 meV/atom
Raw total energy: -52.3 eV for the cell shown
Crystal system: monoclinic

---

Below is CuTcH2 after structural relaxation, with properties calculated at the PBE level.

Structure (extended XYZ):
```
4
Lattice="1.4272 0.8240 4.8096 -1.4272 0.8240 4.8096 0.0000 -1.6480 4.8096" Properties=species:S:1:pos:R:3 pbc="T T T"
Cu 0.0000 0.0000 0.0000
Tc 0.0000 0.0000 2.6032
H 0.0000 0.0000 8.3397
H 0.0000 0.0000 11.2670
```

Properties
Space-group type: R3m, No. 160
Offset from the most stable computed form: 1 meV/atom
Raw total energy: -20.3 eV for the cell shown
Crystal system: trigonal

---

Calculated volume values, unit Å³/cell, following the record order: 162.3, 200.6, 188.1, 290.3, 402.2, 33.9.